(1)
Compound: Zr3CCl
Source: Alexandria
Functional: PBE
Structure: optimized geometry

Lattice parameters (Å, degrees): 4.6059 4.6059 4.6059 90.00 90.00 90.00
Closest atoms and distances in Å follow each position.
Space group Pm-3m (No. 221)
Inequivalent atoms, fractional coordinates:
Zr 0.0000 0.0000 0.5000 [3 per cell]  2 C 2.30
C 0.0000 0.0000 0.0000 [1 per cell]  6 Zr 2.30
Cl 0.5000 0.5000 0.5000 [1 per cell]  12 Zr 3.26

The uncorrected formation energy comes out at 0.04 eV per atom. Its relative energy among the computed polymorphs is 0.000 eV per atom. The calculation puts the calculated total energy at -7.300 eV/atom. Its density of states at the Fermi level is 6.77 states/eV per cell.

=====

(2)
Compound: LaMn2Se
Source: Alexandria
Functional: PBE
Structure: optimized geometry

Lattice parameters (Å, degrees): 4.1687 4.1687 10.9120 90.00 90.00 90.00
Closest atoms and distances in Å follow each position.
Space group I4/mmm (No. 139)
Inequivalent atoms, fractional coordinates:
La 0.0000 0.0000 0.0000 [2 per cell]  4 Se 2.95
Mn 0.0000 0.5000 0.2500 [4 per cell]  4 Mn 2.95
Se 0.0000 0.0000 0.5000 [2 per cell]  4 La 2.95

The uncorrected formation energy comes out at -0.02 eV per atom. The calculation puts the calculated total energy at -6.711 eV/atom. Its density of states at the Fermi level is 9.86 states/eV per cell.

=====

| no. | total moment (μB per cell) |
| --- | --- |
| 1 | 0.00 |
| 2 | 17.04 |